Record 1
The following is a PBEsol calculation of Ba3Al2As4 after structural relaxation, from Alexandria.

POSCAR file:
```
Ba3Al2As4
1.0
7.4305 0.0000 0.0000
0.0000 11.7724 0.0000
0.0000 0.0000 11.8213
Ba Al As
12 8 16
Direct
0.0827 0.0753 0.1377
0.0827 0.4247 0.1377
0.0931 0.2500 0.7598
0.4069 0.7500 0.2598
0.4173 0.5753 0.6377
0.4173 0.9247 0.6377
0.5827 0.0753 0.3623
0.5827 0.4247 0.3623
0.5931 0.2500 0.7402
0.9069 0.7500 0.2402
0.9173 0.5753 0.8623
0.9173 0.9247 0.8623
0.0599 0.1257 0.4618
0.0599 0.3743 0.4618
0.4401 0.6257 0.9618
0.4401 0.8743 0.9618
0.5599 0.1257 0.0382
0.5599 0.3743 0.0382
0.9401 0.6257 0.5382
0.9401 0.8743 0.5382
0.0932 0.7500 0.6772
0.1599 0.5603 0.3864
0.1599 0.9397 0.3864
0.1819 0.7500 0.0268
0.3181 0.2500 0.5268
0.3401 0.0603 0.8864
0.3401 0.4397 0.8864
0.4068 0.2500 0.1772
0.5932 0.7500 0.8228
0.6599 0.5603 0.1136
0.6599 0.9397 0.1136
0.6819 0.7500 0.4732
0.8181 0.2500 0.9732
0.8401 0.0603 0.6136
0.8401 0.4397 0.6136
0.9068 0.2500 0.3228
```

Computed properties:
- uncorrected energy (eV for the cell shown) = -174.24
- total magnetization (μB per formula unit) = 0.0

***

Record 2
The following is a PBEsol calculation of TaSi after structural relaxation, from Alexandria.

POSCAR file:
```
TaSi
1.0
3.8702 0.0000 0.0000
-1.9351 3.3517 0.0000
0.0000 0.0000 5.0564
Ta Si
2 2
Direct
0.3333 0.6667 0.2500
0.6667 0.3333 0.7500
0.0000 0.0000 0.0000
0.0000 0.0000 0.5000
```

Computed properties:
- uncorrected energy (eV for the cell shown) = -37.05
- Fermi-level density of states (states/eV per atom) = 0.654
- formation energy without anion corrections (eV per atom) = -0.115
- total magnetization (μB per formula unit) = 0.0

***

Record 3
The following is a PBEsol calculation of ScRe2Ni after structural relaxation, from Alexandria.

POSCAR file:
```
ScRe2Ni
1.0
-1.8585 1.8585 4.2737
1.8585 -1.8585 4.2737
1.8585 1.8585 -4.2737
Sc Re Ni
1 2 1
Direct
0.0000 0.0000 0.0000
0.2500 0.7500 0.5000
0.7500 0.2500 0.5000
0.5000 0.5000 0.0000
```

Computed properties:
- uncorrected energy (eV for the cell shown) = -38.89
- Fermi-level density of states (states/eV per atom) = 1.617
- offset from the most stable computed form (meV/atom) = 108
- total magnetization (μB per formula unit) = 0.0

***

Record 4
The following is a PBEsol calculation of NaTeI3 after structural relaxation, from Alexandria.

POSCAR file:
```
NaTeI3
1.0
5.5944 0.0000 0.0000
0.0000 5.5944 0.0000
0.0000 0.0000 5.5944
Na Te I
1 1 3
Direct
0.0000 0.0000 0.0000
0.5000 0.5000 0.5000
0.0000 0.0000 0.5000
0.0000 0.5000 0.0000
0.5000 0.0000 0.0000
```

Computed properties:
- uncorrected energy (eV for the cell shown) = -9.59
- Fermi-level density of states (states/eV per atom) = 0.958
- formation energy without anion corrections (eV per atom) = 0.128
- total magnetization (μB per formula unit) = 0.0

***

Record 5
The following is a PBEsol calculation of Mg2ZnPdW after structural relaxation, from Alexandria.

POSCAR file:
```
Mg2ZnPdW
1.0
4.6105 0.0000 0.0000
0.0000 4.6105 0.0000
0.0000 0.0000 4.5049
Mg Zn Pd W
2 1 1 1
Direct
0.0000 0.5000 0.0000
0.5000 0.0000 0.0000
0.0000 0.0000 0.0000
0.0000 0.0000 0.5000
0.5000 0.5000 0.5000
```

Computed properties:
- uncorrected energy (eV for the cell shown) = -19.07
- Fermi-level density of states (states/eV per atom) = 0.735
- total magnetization (μB per formula unit) = 2.4

***

Record 6
The following is a PBEsol calculation of Nb3CrI after structural relaxation, from Alexandria.

POSCAR file:
```
Nb3CrI
1.0
4.9582 0.0000 0.0000
0.0000 4.9582 0.0000
0.0000 0.0000 4.9582
Nb Cr I
3 1 1
Direct
0.0000 0.0000 0.5000
0.0000 0.5000 0.0000
0.5000 0.0000 0.0000
0.5000 0.5000 0.5000
0.0000 0.0000 0.0000
```

Computed properties:
- uncorrected energy (eV for the cell shown) = -34.64
- Fermi-level density of states (states/eV per atom) = 1.398
- formation energy without anion corrections (eV per atom) = 1.968
- total magnetization (μB per formula unit) = 1.8

***

Record 7
The following is a PBEsol calculation of La2MoRh after structural relaxation, from Alexandria.

POSCAR file:
```
La2MoRh
1.0
0.0000 3.4450 3.4450
3.4450 0.0000 3.4450
3.4450 3.4450 0.0000
La Mo Rh
2 1 1
Direct
0.0000 0.0000 0.0000
0.2500 0.2500 0.2500
0.7500 0.7500 0.7500
0.5000 0.5000 0.5000
```

Computed properties:
- uncorrected energy (eV for the cell shown) = -29.59
- Fermi-level density of states (states/eV per atom) = 1.268
- offset from the most stable computed form (meV/atom) = 146
- total magnetization (μB per formula unit) = 0.0

***

Record 8
The following is a PBEsol calculation of Mg2AlAg after structural relaxation, from Alexandria.

POSCAR file:
```
Mg2AlAg
1.0
-1.5844 2.4074 4.9014
1.5844 -2.4074 4.9014
1.5844 2.4074 -4.9014
Mg Al Ag
2 1 1
Direct
0.0000 0.0000 0.0000
0.7207 0.2207 0.5000
0.4591 0.4591 0.0000
0.2412 0.7412 0.5000
```

Computed properties:
- uncorrected energy (eV for the cell shown) = -11.09
- Fermi-level density of states (states/eV per atom) = 0.366
- total magnetization (μB per formula unit) = 0.0

***

The records above yield mass density values of 4.9 10.6 13.4 5.0 7.0 6.2 9.7 4.1 g/cm³, respectively.